This record from the Alexandria database describes an optimized crystal structure of Ho6Tc2Pd. The functional is GGA-PBE.

- total magnetic moment (μB/cell) = 0.000
- density (g/cm³) = 9.6
- space-group type = Immm

Cell: 8.3431 8.3431 8.3431 Å, 107.34 111.02 110.08°
Element x y z (fractional)
Ho (0.8028, 0.7374, 0.5402)
Ho (0.6895, 0.3554, 0.6659)
Ho (0.3105, 0.9763, 0.6659)
Ho (0.4343, 0.2576, 0.1768)
Ho (0.0808, 0.2576, 0.8232)
Ho (0.3105, 0.6446, 0.3341)
Ho (0.9192, 0.7424, 0.1768)
Ho (0.5657, 0.7424, 0.8232)
Ho (0.1972, 0.2626, 0.4598)
Ho (0.8028, 0.2626, 0.0655)
Ho (0.1972, 0.7374, 0.9345)
Ho (0.6895, 0.0237, 0.3341)
Tc (0.5000, 0.3838, 0.8838)
Tc (0.6735, 0.0000, 0.6735)
Tc (0.5000, 0.6162, 0.1162)
Tc (0.3265, 0.0000, 0.3265)
Pd (0.0000, 0.0000, 0.0000)
Pd (0.0000, 0.5000, 0.5000)



This record from the Alexandria database describes an optimized crystal structure of Ho4TcPd. The functional is GGA-PBE.

- total magnetic moment (μB/cell) = 0.000
- density (g/cm³) = 9.3
- space-group type = P-1

Cell: 6.3862 7.8415 7.8769 Å, 110.46 108.54 108.45°
Element x y z (fractional)
Tc (0.2501, 0.0023, 0.9979)
Tc (0.7499, 0.9977, 0.0021)
Ho (0.7226, 0.2322, 0.3611)
Ho (0.9050, 0.0522, 0.7036)
Ho (0.0950, 0.9478, 0.2964)
Ho (0.7773, 0.6380, 0.7666)
Ho (0.2774, 0.7678, 0.6389)
Ho (0.5970, 0.2986, 0.9504)
Ho (0.2227, 0.3620, 0.2334)
Ho (0.4030, 0.7014, 0.0496)
Pd (0.7496, 0.6360, 0.3652)
Pd (0.2504, 0.3640, 0.6348)



This record from the Alexandria database describes an optimized crystal structure of HoThTcPd. The functional is GGA-PBE.

- total magnetic moment (μB/cell) = 0.000
- density (g/cm³) = 11.4
- space-group type = F-43m

Cell: 4.9835 4.9835 4.9835 Å, 60.00 60.00 60.00°
Element x y z (fractional)
Th (0.7500, 0.7500, 0.7500)
Tc (0.5000, 0.5000, 0.5000)
Ho (0.2500, 0.2500, 0.2500)
Pd (0.0000, 0.0000, 0.0000)



This record from the Alexandria database describes an optimized crystal structure of YHoTcPd. The functional is GGA-PBE.

- total magnetic moment (μB/cell) = 0.000
- density (g/cm³) = 9.2
- space-group type = F-43m

Cell: 4.8820 4.8820 4.8820 Å, 60.00 60.00 60.00°
Element x y z (fractional)
Ho (0.5000, 0.5000, 0.5000)
Y (0.0000, 0.0000, 0.0000)
Tc (0.2500, 0.2500, 0.2500)
Pd (0.7500, 0.7500, 0.7500)



This record from the Alexandria database describes an optimized crystal structure of HoZrTcPd. The functional is GGA-PBE.

- total magnetic moment (μB/cell) = 0.000
- density (g/cm³) = 9.9
- space-group type = F-43m

Cell: 4.7730 4.7730 4.7730 Å, 60.00 60.00 60.00°
Element x y z (fractional)
Tc (0.5000, 0.5000, 0.5000)
Ho (0.2500, 0.2500, 0.2500)
Zr (0.7500, 0.7500, 0.7500)
Pd (0.0000, 0.0000, 0.0000)



This record from the Alexandria database describes an optimized crystal structure of HoTePd5. The functional is GGA-PBE.

- total magnetic moment (μB/cell) = 0.000
- energy relative to the elements, uncorrected (eV/atom) = -0.642
- density (g/cm³) = 10.5
- space-group type = P4/mmm

Cell: 4.1751 4.1751 7.4837 Å, 90.00 90.00 90.00°
Element x y z (fractional)
Pd (0.0000, 0.5000, 0.7707)
Pd (0.5000, 0.5000, 0.5000)
Pd (0.5000, 0.0000, 0.2293)
Pd (0.5000, 0.0000, 0.7707)
Pd (0.0000, 0.5000, 0.2293)
Te (0.5000, 0.5000, 0.0000)
Ho (0.0000, 0.0000, 0.5000)



This record from the Alexandria database describes an optimized crystal structure of HoTePd4. The functional is GGA-PBE.

- total magnetic moment (μB/cell) = 0.000
- energy relative to the elements, uncorrected (eV/atom) = -0.523
- density (g/cm³) = 10.6
- space-group type = F-43m

Cell: 5.4198 5.4198 5.4198 Å, 60.00 60.00 60.00°
Element x y z (fractional)
Te (0.2500, 0.2500, 0.2500)
Pd (0.6258, 0.6258, 0.6258)
Pd (0.6258, 0.6258, 0.1227)
Pd (0.6258, 0.1227, 0.6258)
Pd (0.1227, 0.6258, 0.6258)
Ho (0.0000, 0.0000, 0.0000)



This record from the Alexandria database describes an optimized crystal structure of Ho5Te4Pd. The functional is GGA-PBE.

- total magnetic moment (μB/cell) = 0.000
- energy relative to the elements, uncorrected (eV/atom) = -1.157
- density (g/cm³) = 8.5
- space-group type = I4/mmm

Cell: 4.2493 4.2493 15.8060 Å, 97.73 97.73 90.00°
Element x y z (fractional)
Ho (0.9132, 0.9132, 0.8265)
Ho (0.5000, 0.5000, 0.0000)
Ho (0.7099, 0.7099, 0.4199)
Ho (0.0868, 0.0868, 0.1735)
Ho (0.2901, 0.2901, 0.5801)
Te (0.1908, 0.1908, 0.3815)
Te (0.8092, 0.8092, 0.6185)
Te (0.6061, 0.6061, 0.2122)
Te (0.3939, 0.3939, 0.7878)
Pd (0.0000, 0.0000, 0.0000)



This record from the Alexandria database describes an optimized crystal structure of Ho2TePd9. The functional is GGA-PBE.

- total magnetic moment (μB/cell) = 0.000
- energy relative to the elements, uncorrected (eV/atom) = -0.656
- density (g/cm³) = 11.3
- space-group type = P4/mmm

Cell: 4.0994 4.0994 12.3318 Å, 90.00 90.00 90.00°
Element x y z (fractional)
Pd (0.0000, 0.5000, 0.1634)
Pd (0.5000, 0.0000, 0.5000)
Pd (0.0000, 0.5000, 0.5000)
Pd (0.5000, 0.5000, 0.0000)
Pd (0.5000, 0.0000, 0.1634)
Pd (0.5000, 0.5000, 0.3296)
Pd (0.5000, 0.0000, 0.8366)
Pd (0.5000, 0.5000, 0.6704)
Pd (0.0000, 0.5000, 0.8366)
Ho (0.0000, 0.0000, 0.6646)
Ho (0.0000, 0.0000, 0.3354)
Te (0.0000, 0.0000, 0.0000)



This record from the Alexandria database describes an optimized crystal structure of HoTe2Pd. The functional is GGA-PBE.

- total magnetic moment (μB/cell) = 0.000
- energy relative to the elements, uncorrected (eV/atom) = -0.740
- density (g/cm³) = 8.3
- polymorph energy (0 for the lowest one) (eV per atom) = 0.0000
- space-group type = R3m

Cell: 4.1905 4.1905 7.3207 Å, 73.37 73.37 60.00°
Element x y z (fractional)
Te (0.2595, 0.2595, 0.2214)
Te (0.0742, 0.0742, 0.7775)
Pd (0.6640, 0.6640, 0.0081)
Ho (0.5023, 0.5023, 0.4930)



This record from the Alexandria database describes an optimized crystal structure of Ho3TePd. The functional is GGA-PBE.

- total magnetic moment (μB/cell) = 0.823
- energy relative to the elements, uncorrected (eV/atom) = -0.795
- density (g/cm³) = 8.2
- polymorph energy (0 for the lowest one) (eV per atom) = 0.0000
- space-group type = P2_1/m

Cell: 3.8580 9.0361 8.5022 Å, 98.14 90.00 90.00°
Element x y z (fractional)
Te (0.2500, 0.8656, 0.3101)
Te (0.7500, 0.1344, 0.6899)
Ho (0.2500, 0.6562, 0.9902)
Ho (0.7500, 0.3438, 0.0098)
Ho (0.7500, 0.1340, 0.3288)
Ho (0.2500, 0.8660, 0.6712)
Ho (0.2500, 0.4009, 0.6316)
Ho (0.7500, 0.5991, 0.3684)
Pd (0.2500, 0.3640, 0.2691)
Pd (0.7500, 0.6360, 0.7309)



This record from the Alexandria database describes an optimized crystal structure of Ho4TePd. The functional is GGA-PBE.

- total magnetic moment (μB/cell) = 0.000
- energy relative to the elements, uncorrected (eV/atom) = -0.531
- density (g/cm³) = 8.3
- polymorph energy (0 for the lowest one) (eV per atom) = 0.2152
- space-group type = C2/c

Cell: 6.9268 7.0370 8.3648 Å, 104.82 114.46 90.00°
Element x y z (fractional)
Pd (0.5000, 0.5000, 0.5000)
Pd (0.0000, 0.0000, 0.5000)
Te (0.8206, 0.2500, 0.0000)
Te (0.1794, 0.7500, 0.0000)
Ho (0.4757, 0.5337, 0.8117)
Ho (0.9128, 0.3549, 0.6788)
Ho (0.2340, 0.1451, 0.3212)
Ho (0.5243, 0.4663, 0.1883)
Ho (0.0872, 0.6451, 0.3212)
Ho (0.6640, 0.9663, 0.1883)
Ho (0.3360, 0.0337, 0.8117)
Ho (0.7660, 0.8549, 0.6788)



The calculation returns the following uncorrected energy values, one per record and in order: -6.18, -6.03, -7.32, -7.02, -7.64, -5.45, -5.27, -5.22, -5.58, -4.75, -5.21, -4.97 eV per atom.
The calculation returns the following DOS(E_F) values, one per record and in order: 17.4, 8.8, 3.2, 3.8, 2.0, 2.9, 6.1, 6.1, 6.0, 5.5, 9.2, 11.3 states/eV/cell.